## LiV4O5F7 (GGA+U)

Data for a geometry-optimized LiV4O5F7 structure.

POSCAR file:
```
LiV4O5F7
1.0
2.8596 4.4056 2.5958
1.2478 -5.8838 1.3525
3.3128 0.8042 -6.4279
F O V Li
7 5 4 1
direct
0.7700 0.9865 0.0467
0.2771 0.9365 0.9376
0.7693 0.1708 0.7730
0.3143 0.4989 0.8817
0.8840 0.0373 0.4285
0.2792 0.1181 0.6592
0.7038 0.3695 0.4242
0.9264 0.4881 0.1371
0.2660 0.3284 0.1934
0.7877 0.7629 0.7076
0.2107 0.6465 0.5316
0.9399 0.7147 0.2289
0.4771 0.8072 0.7809
0.0885 0.1215 0.8931
0.9638 0.7636 0.4903
0.0141 0.3151 0.2955
0.6609 0.3796 0.6877
```

Properties
- total magnetization (μB/atom) = 0.352
- energy relative to the lowest polymorph listed for this composition (eV/atom) = 0.209